Below is UNiPt3 after structural relaxation, with properties calculated at the PBE level.

Summary:
excess energy over the best structure of this formula in the dataset: 0.000 eV/atom
DFT formation energy: -0.48 eV per atom

Geometry as CIF:
```
data_UNiPt3
_chemical_formula_sum 'U4 Ni4 Pt12'
_cell_length_a 4.6740
_cell_length_b 12.5918
_cell_length_c 5.7096
_cell_angle_alpha 90.00
_cell_angle_beta 90.00
_cell_angle_gamma 90.00
_space_group_name_H-M_alt 'C m c m'
_space_group_IT_number 63
_space_group_name_Hall '-C 2c 2'
loop_
_atom_site_label
_atom_site_type_symbol
_atom_site_fract_x
_atom_site_fract_y
_atom_site_fract_z
U1 U 0.0000 0.1027 0.2500
Ni1 Ni 0.0000 0.4957 0.2500
Pt1 Pt 0.0000 0.1191 0.7500
Pt2 Pt 0.0000 0.3194 0.0043
```



Below is Ac6Ir2AuN after structural relaxation, with properties calculated at the PBE level.

Summary:
raw total energy: -6.04 eV/atom

Geometry as CIF:
```
data_Ac6Ir2AuN
_chemical_formula_sum 'Ac6 Ir2 Au1 N1'
_cell_length_a 7.3869
_cell_length_b 7.3928
_cell_length_c 8.1322
_cell_angle_alpha 90.01
_cell_angle_beta 116.98
_cell_angle_gamma 119.97
_space_group_name_H-M_alt 'P 1'
_space_group_IT_number 1
_space_group_name_Hall 'P 1'
loop_
_atom_site_label
_atom_site_type_symbol
_atom_site_fract_x
_atom_site_fract_y
_atom_site_fract_z
Ac1 Ac 0.0000 0.0000 0.0000
Ac2 Ac 0.0059 0.8263 0.4723
Ac3 Ac 0.3206 0.4510 0.4726
Ac4 Ac 0.4035 0.6749 0.0002
Ac5 Ac 0.6739 0.2709 0.9996
Ac6 Ac 0.6967 0.1412 0.4726
Ir1 Ir 0.4959 0.8835 0.7045
Ir2 Ir 0.5178 0.3946 0.2379
Au1 Au 0.8680 0.5698 0.7633
N1 N 0.8652 0.0679 0.2600
```



Number 1: magnetization 0.172 μB/atom. Number 2: magnetization 0.000 μB/atom.